A plane-wave DFT calculation with PBE was carried out for an optimized crystal structure of Cu3TcPb.

Calculated values
spin magnetization: 1.3 μB per cell
energy relative to the elements: 1.102 eV/atom
space group: No. 221
Fermi-level density of states: 6.0 states/eV/f.u.

Cell lengths 4.715, 4.715, 4.715 Å; angles 90.00, 90.00, 90.00 degrees
Each line ends with the local moment (μB).
Positions (direct):
Pb 0.500 0.500 0.500  -0.01
Tc 0.000 0.000 0.000  0.83
Cu 0.000 0.500 0.000  0.08
Cu 0.000 0.000 0.500  0.21
Cu 0.500 0.000 0.000  0.05

A plane-wave DFT calculation with PBE was carried out for an optimized crystal structure of CuTcPb2.

Calculated values
spin magnetization: 0.0 μB per cell
energy relative to the elements: 0.550 eV/atom
space group: No. 99
Fermi-level density of states: 1.8 states/eV/f.u.

Cell lengths 3.728, 3.728, 5.816 Å; angles 90.00, 90.00, 90.00 degrees
Positions (direct):
Cu 0.500 0.500 0.759
Pb 0.000 0.000 0.957
Pb 0.500 0.500 0.295
Tc 0.000 0.000 0.488

A plane-wave DFT calculation with PBE was carried out for an optimized crystal structure of CuTc2Pb.

Calculated values
spin magnetization: 0.9 μB per cell
energy relative to the elements: 0.745 eV/atom
space group: No. 65
Fermi-level density of states: 5.0 states/eV/f.u.

Cell lengths 4.861, 4.861, 3.078 Å; angles 90.00, 90.00, 114.18 degrees
Each line ends with the local moment (μB).
Positions (direct):
Cu 0.500 0.000 0.500  0.03
Pb 0.000 0.500 0.500  -0.01
Tc 0.000 0.000 0.000  0.40
Tc 0.500 0.500 0.000  0.40

A plane-wave DFT calculation with PBE was carried out for an optimized crystal structure of CuTc2Pb.

Calculated values
spin magnetization: 0.0 μB per cell
energy relative to the elements: 0.638 eV/atom
space group: No. 71
Fermi-level density of states: 4.8 states/eV/f.u.

Cell lengths 5.331, 5.331, 5.331 Å; angles 145.12, 130.43, 62.04 degrees
Positions (direct):
Cu 0.750 0.250 0.500
Pb 0.250 0.750 0.500
Tc 0.993 0.993 0.000
Tc 0.507 0.507 0.000

A plane-wave DFT calculation with PBE was carried out for an optimized crystal structure of CuTcPb2.

Calculated values
spin magnetization: 1.0 μB per cell
energy relative to the elements: 0.645 eV/atom
space group: No. 119
Fermi-level density of states: 3.4 states/eV/f.u.

Cell lengths 5.685, 5.685, 5.685 Å; angles 138.23, 138.23, 60.55 degrees
Each line ends with the local moment (μB).
Positions (direct):
Cu 0.750 0.250 0.500  -0.01
Pb 0.000 0.000 0.000  -0.01
Pb 0.250 0.750 0.500  0.00
Tc 0.500 0.500 0.000  0.94

A plane-wave DFT calculation with PBE was carried out for an optimized crystal structure of CuTc2Pb.

Calculated values
spin magnetization: 0.0 μB per cell
energy relative to the elements: 0.525 eV/atom
space group: No. 8
Fermi-level density of states: 2.4 states/eV/f.u.

Cell lengths 4.589, 4.589, 5.105 Å; angles 79.98, 79.98, 40.84 degrees
Positions (direct):
Cu 0.490 0.490 0.525
Pb 0.251 0.251 0.269
Tc 0.018 0.018 0.928
Tc 0.740 0.740 0.778